Computed, not measured: Li2YIn2 at its PBEsol-relaxed geometry at the meta-GGA SCAN level of DFT.

The total magnetic moment is 0.717 μB per cell. For the formation energy, the calculation gives -43 kJ per mole of atoms. The distance to the lowest polymorph of the same formula is 0 meV per atom. The value obtained for the density of states at the Fermi level is 4.47 states/eV/cell. Its total DFT energy (no corrections) is -20.32 eV per atom.

Cell and atoms, written as CIF:
```
data_Li2YIn2
_chemical_formula_sum 'Li4 Y2 In4'
_cell_length_a 8.1241
_cell_length_b 8.1241
_cell_length_c 3.1110
_cell_angle_alpha 90.00
_cell_angle_beta 90.00
_cell_angle_gamma 90.00
_space_group_name_H-M_alt 'P 4/m b m'
_space_group_IT_number 127
_space_group_name_Hall '-P 4 2ab'
loop_
_atom_site_label
_atom_site_fract_x
_atom_site_fract_y
_atom_site_fract_z
Li1 0.1162 0.3838 0.0000
Y1 0.0000 0.0000 0.0000
In1 0.1796 0.6796 0.5000
```